Model a:
First-principles (PBE) data for a geometry-optimized SrAg2Mo structure, as listed in Alexandria via LeMat-Bulk.

a = 4.983 Å, b = 4.983 Å, c = 10.241 Å
α = 75.92°, β = 75.92°, γ = 90.00°
Site moments in Bohr magnetons follow the coordinates.
Fractional coordinates of all 8 atoms:
Ag 0.875 0.016 0.750  0.07
Ag 0.375 0.234 0.750  0.07
Ag 0.984 0.625 0.250  0.07
Ag 0.766 0.125 0.250  0.07
Sr 0.500 0.500 0.000  0.01
Sr 0.250 0.750 0.500  0.01
Mo 0.750 0.250 0.500  3.02
Mo 0.000 0.000 0.000  3.02

Properties
Total magnetic moment in μB per formula unit: 3.749
Symmetry: I-42d, No. 122

Model b:
First-principles (PBE) data for a geometry-optimized SrAg2Mo structure, as listed in Alexandria via LeMat-Bulk.

a = 5.769 Å, b = 5.769 Å, c = 5.427 Å
α = 71.30°, β = 71.30°, γ = 29.67°
Site moments in Bohr magnetons follow the coordinates.
Fractional coordinates of all 4 atoms:
Sr 0.258 0.258 0.190  0.01
Mo 0.482 0.482 0.581  0.88
Ag 0.739 0.739 0.691  0.01
Ag 0.020 0.020 0.038  0.01

Properties
Total magnetic moment in μB per formula unit: 1.069
Symmetry: Cm, No. 8

Model c:
First-principles (PBE) data for a geometry-optimized SrAg2Mo structure, as listed in Alexandria via LeMat-Bulk.

a = 5.603 Å, b = 5.603 Å, c = 5.603 Å
α = 133.24°, β = 133.24°, γ = 68.28°
Site moments in Bohr magnetons follow the coordinates.
Fractional coordinates of all 4 atoms:
Mo 0.500 0.500 0.000  2.94
Sr 0.750 0.250 0.500  0.06
Ag 0.250 0.750 0.500  0.03
Ag 0.000 0.000 0.000  0.03

Properties
Total magnetic moment in μB per formula unit: 3.641
Symmetry: I-4m2, No. 119

Model d:
First-principles (PBE) data for a geometry-optimized SrAg2Mo structure, as listed in Alexandria via LeMat-Bulk.

a = 5.015 Å, b = 5.015 Å, c = 6.376 Å
α = 83.47°, β = 83.47°, γ = 34.24°
Site moments in Bohr magnetons follow the coordinates.
Fractional coordinates of all 4 atoms:
Ag 0.009 0.009 0.940  0.02
Ag 0.491 0.491 0.560  0.02
Mo 0.750 0.750 0.750  0.67
Sr 0.250 0.250 0.250  -0.01

Properties
Total magnetic moment in μB per formula unit: 0.808
Symmetry: C2/m, No. 12

How do the structures above rank in stability at the extremes? model b comes first and model a comes last.